<i>
Material: KY2Ir
Method: DFT, SCAN
State: single point on PBEsol structure

Results
The calculation puts the density of states at the Fermi level at 0.657 states/eV/atom.

```
data_KY2Ir
_space_group_name_H-M_alt 'I m m 2'
_space_group_IT_number 44
_cell_length_a 3.580
_cell_length_b 3.799
_cell_length_c 20.447
_cell_angle_alpha 90.00
_cell_angle_beta 90.00
_cell_angle_gamma 90.00
loop_
_space_group_symop_operation_xyz
'x,y,z'
'-x,-y,z'
'-x,y,z'
'x,-y,z'
'x+1/2,y+1/2,z+1/2'
'-x+1/2,-y+1/2,z+1/2'
'-x+1/2,y+1/2,z+1/2'
'x+1/2,-y+1/2,z+1/2'
loop_
_atom_site_label
_atom_site_type_symbol
_atom_site_fract_x
_atom_site_fract_y
_atom_site_fract_z
_atom_site_occupancy
K1 K 0.000 0.000 0.000 1
Y1 Y 0.000 0.000 0.329 1
Y2 Y 0.000 0.500 0.179 1
Ir1 Ir 0.000 0.500 0.732 1
```

***

<ii>
Material: KY2Ir
Method: DFT, SCAN
State: single point on PBEsol structure

Results
The calculation puts the density of states at the Fermi level at 0.708 states/eV/atom.

```
data_KY2Ir
_space_group_name_H-M_alt 'P 1 m 1'
_space_group_IT_number 6
_cell_length_a 3.994
_cell_length_b 3.816
_cell_length_c 9.096
_cell_angle_alpha 90.00
_cell_angle_beta 102.62
_cell_angle_gamma 90.00
loop_
_space_group_symop_operation_xyz
'x,y,z'
'x,-y,z'
loop_
_atom_site_label
_atom_site_type_symbol
_atom_site_fract_x
_atom_site_fract_y
_atom_site_fract_z
_atom_site_occupancy
K1 K 0.000 0.000 0.000 1
Y1 Y 0.315 0.000 0.631 1
Y2 Y 0.687 0.500 0.372 1
Ir1 Ir 0.831 0.500 0.663 1
```

***

The structure with the most favorable energy is <i>; the runner-up is 15 meV per atom above it.

***

<i>
Material: TlReSb2
Method: DFT, SCAN
State: single point on PBEsol structure

Results
The calculation puts the density of states at the Fermi level at 0.784 states/eV/atom.

```
data_TlReSb2
_space_group_name_H-M_alt 'C m m m'
_space_group_IT_number 65
_space_group_name_Hall '-C 2 2'
_cell_length_a 3.281
_cell_length_b 5.365
_cell_length_c 10.540
_cell_angle_alpha 90.00
_cell_angle_beta 90.00
_cell_angle_gamma 90.00
loop_
_atom_site_label
_atom_site_type_symbol
_atom_site_fract_x
_atom_site_fract_y
_atom_site_fract_z
_atom_site_occupancy
Tl1 Tl 0.000 0.000 0.000 1
Re1 Re 0.000 0.000 0.500 1
Sb1 Sb 0.000 0.500 0.297 1
```

***

<ii>
Material: TlReSb2
Method: DFT, SCAN
State: single point on PBEsol structure

Results
The calculation puts the density of states at the Fermi level at 0.792 states/eV/atom.

```
data_TlReSb2
_space_group_name_H-M_alt 'I m m 2'
_space_group_IT_number 44
_cell_length_a 3.263
_cell_length_b 3.356
_cell_length_c 17.813
_cell_angle_alpha 90.00
_cell_angle_beta 90.00
_cell_angle_gamma 90.00
loop_
_space_group_symop_operation_xyz
'x,y,z'
'-x,-y,z'
'-x,y,z'
'x,-y,z'
'x+1/2,y+1/2,z+1/2'
'-x+1/2,-y+1/2,z+1/2'
'-x+1/2,y+1/2,z+1/2'
'x+1/2,-y+1/2,z+1/2'
loop_
_atom_site_label
_atom_site_type_symbol
_atom_site_fract_x
_atom_site_fract_y
_atom_site_fract_z
_atom_site_occupancy
Tl1 Tl 0.000 0.000 0.000 1
Re1 Re 0.000 0.500 0.265 1
Sb1 Sb 0.000 0.000 0.647 1
Sb2 Sb 0.000 0.500 0.842 1
```

***

The structure with the most favorable energy is <ii>; the runner-up is 214 meV per atom above it.

***

<i>
Material: YSiCl2
Method: DFT, SCAN
State: single point on PBEsol structure

Results
The calculation puts the density of states at the Fermi level at 0.612 states/eV/atom.

```
data_YSiCl2
_space_group_name_H-M_alt 'R 3 m'
_space_group_IT_number 160
_space_group_name_Hall 'R 3 -2"'
_cell_length_a 3.3844
_cell_length_b 3.3844
_cell_length_c 27.2274
_cell_angle_alpha 90.00
_cell_angle_beta 90.00
_cell_angle_gamma 120.00
loop_
_atom_site_label
_atom_site_type_symbol
_atom_site_fract_x
_atom_site_fract_y
_atom_site_fract_z
_atom_site_occupancy
Y1 Y 0.0000 0.0000 0.0000 1
Si1 Si 0.0000 0.0000 0.7470 1
Cl1 Cl 0.0000 0.0000 0.2667 1
Cl2 Cl 0.0000 0.0000 0.4781 1
```

***

<ii>
Material: YSiCl2
Method: DFT, SCAN
State: single point on PBEsol structure

Results
The calculation puts the density of states at the Fermi level at 0.371 states/eV/atom.

```
data_YSiCl2
_space_group_name_H-M_alt 'R -3 m'
_space_group_IT_number 166
_space_group_name_Hall '-R 3 2"'
_cell_length_a 3.3698
_cell_length_b 3.3698
_cell_length_c 29.2322
_cell_angle_alpha 90.00
_cell_angle_beta 90.00
_cell_angle_gamma 120.00
loop_
_atom_site_label
_atom_site_type_symbol
_atom_site_fract_x
_atom_site_fract_y
_atom_site_fract_z
_atom_site_occupancy
Y1 Y 0.0000 0.0000 0.0000 1
Si1 Si 0.0000 0.0000 0.5000 1
Cl1 Cl 0.0000 0.0000 0.2711 1
```

***

The structure with the most favorable energy is <ii>; the runner-up is 42 meV per atom above it.

***

<i>
Material: LiAgBr2
Method: DFT, SCAN
State: single point on PBEsol structure

Results
The calculation puts the density of states at the Fermi level at 0.000 states/eV/atom.

```
data_LiAgBr2
_space_group_name_H-M_alt 'F m -3 m'
_space_group_IT_number 225
_space_group_name_Hall '-F 4 2 3'
_cell_length_a 6.959
_cell_length_b 6.959
_cell_length_c 6.959
_cell_angle_alpha 90.00
_cell_angle_beta 90.00
_cell_angle_gamma 90.00
loop_
_atom_site_label
_atom_site_type_symbol
_atom_site_fract_x
_atom_site_fract_y
_atom_site_fract_z
_atom_site_occupancy
Li1 Li 0.000 0.000 0.000 1
Ag1 Ag 0.000 0.000 0.500 1
Br1 Br 0.250 0.250 0.250 1
```

***

<ii>
Material: LiAgBr2
Method: DFT, SCAN
State: single point on PBEsol structure

Results
The calculation puts the density of states at the Fermi level at 0.000 states/eV/atom.

```
data_LiAgBr2
_space_group_name_H-M_alt 'R -3 m'
_space_group_IT_number 166
_space_group_name_Hall '-R 3 2"'
_cell_length_a 3.9485
_cell_length_b 3.9485
_cell_length_c 19.1930
_cell_angle_alpha 90.00
_cell_angle_beta 90.00
_cell_angle_gamma 120.00
loop_
_atom_site_label
_atom_site_type_symbol
_atom_site_fract_x
_atom_site_fract_y
_atom_site_fract_z
_atom_site_occupancy
Li1 Li 0.0000 0.0000 0.0000 1
Ag1 Ag 0.0000 0.0000 0.5000 1
Br1 Br 0.0000 0.0000 0.2541 1
```

***

The structure with the most favorable energy is <ii>; the runner-up is 231 meV per atom above it.

***

<i>
Material: LiZn2Au
Method: DFT, SCAN
State: single point on PBEsol structure

Results
The calculation puts the density of states at the Fermi level at 0.278 states/eV/atom.

```
data_LiZn2Au
_space_group_name_H-M_alt 'P 4/m m m'
_space_group_IT_number 123
_space_group_name_Hall '-P 4 2'
_cell_length_a 3.795
_cell_length_b 3.795
_cell_length_c 3.953
_cell_angle_alpha 90.00
_cell_angle_beta 90.00
_cell_angle_gamma 90.00
loop_
_atom_site_label
_atom_site_type_symbol
_atom_site_fract_x
_atom_site_fract_y
_atom_site_fract_z
_atom_site_occupancy
Li1 Li 0.000 0.000 0.000 1
Zn1 Zn 0.000 0.500 0.500 1
Au1 Au 0.500 0.500 0.000 1
```

***

<ii>
Material: LiZn2Au
Method: DFT, SCAN
State: single point on PBEsol structure

Results
The calculation puts the density of states at the Fermi level at 0.190 states/eV/atom.

```
data_LiZn2Au
_space_group_name_H-M_alt 'F m -3 m'
_space_group_IT_number 225
_space_group_name_Hall '-F 4 2 3'
_cell_length_a 6.117
_cell_length_b 6.117
_cell_length_c 6.117
_cell_angle_alpha 90.00
_cell_angle_beta 90.00
_cell_angle_gamma 90.00
loop_
_atom_site_label
_atom_site_type_symbol
_atom_site_fract_x
_atom_site_fract_y
_atom_site_fract_z
_atom_site_occupancy
Li1 Li 0.000 0.000 0.000 1
Zn1 Zn 0.250 0.250 0.250 1
Au1 Au 0.000 0.000 0.500 1
```

***

The structure with the most favorable energy is <ii>; the runner-up is 67 meV per atom above it.

***

<i>
Material: BaLa2Tl
Method: DFT, SCAN
State: single point on PBEsol structure

Results
The calculation puts the density of states at the Fermi level at 1.226 states/eV/atom.

```
data_BaLa2Tl
_space_group_name_H-M_alt 'I m m m'
_space_group_IT_number 71
_space_group_name_Hall '-I 2 2'
_cell_length_a 3.997
_cell_length_b 5.879
_cell_length_c 12.300
_cell_angle_alpha 90.00
_cell_angle_beta 90.00
_cell_angle_gamma 90.00
loop_
_atom_site_label
_atom_site_type_symbol
_atom_site_fract_x
_atom_site_fract_y
_atom_site_fract_z
_atom_site_occupancy
Ba1 Ba 0.000 0.000 0.000 1
La1 La 0.000 0.500 0.215 1
Tl1 Tl 0.000 0.000 0.500 1
```

***

<ii>
Material: BaLa2Tl
Method: DFT, SCAN
State: single point on PBEsol structure

Results
The calculation puts the density of states at the Fermi level at 0.907 states/eV/atom.

```
data_BaLa2Tl
_space_group_name_H-M_alt 'F m -3 m'
_space_group_IT_number 225
_space_group_name_Hall '-F 4 2 3'
_cell_length_a 7.993
_cell_length_b 7.993
_cell_length_c 7.993
_cell_angle_alpha 90.00
_cell_angle_beta 90.00
_cell_angle_gamma 90.00
loop_
_atom_site_label
_atom_site_type_symbol
_atom_site_fract_x
_atom_site_fract_y
_atom_site_fract_z
_atom_site_occupancy
Ba1 Ba 0.000 0.000 0.000 1
La1 La 0.250 0.250 0.250 1
Tl1 Tl 0.000 0.000 0.500 1
```

***

The structure with the most favorable energy is <i>; the runner-up is 122 meV per atom above it.

***

<i>
Material: ReNi2Pt
Method: DFT, SCAN
State: single point on PBEsol structure

Results
The calculation puts the density of states at the Fermi level at 0.743 states/eV/atom.

```
data_ReNi2Pt
_space_group_name_H-M_alt 'P 4/m m m'
_space_group_IT_number 123
_space_group_name_Hall '-P 4 2'
_cell_length_a 2.640
_cell_length_b 2.640
_cell_length_c 7.228
_cell_angle_alpha 90.00
_cell_angle_beta 90.00
_cell_angle_gamma 90.00
loop_
_atom_site_label
_atom_site_type_symbol
_atom_site_fract_x
_atom_site_fract_y
_atom_site_fract_z
_atom_site_occupancy
Re1 Re 0.000 0.000 0.000 1
Ni1 Ni 0.500 0.500 0.243 1
Pt1 Pt 0.000 0.000 0.500 1
```

***

<ii>
Material: ReNi2Pt
Method: DFT, SCAN
State: single point on PBEsol structure

Results
The calculation puts the density of states at the Fermi level at 0.863 states/eV/atom.

```
data_ReNi2Pt
_space_group_name_H-M_alt 'C 1 m 1'
_space_group_IT_number 8
_cell_length_a 8.706
_cell_length_b 2.645
_cell_length_c 4.444
_cell_angle_alpha 90.00
_cell_angle_beta 100.34
_cell_angle_gamma 90.00
loop_
_space_group_symop_operation_xyz
'x,y,z'
'x,-y,z'
'x+1/2,y+1/2,z'
'x+1/2,-y+1/2,z'
loop_
_atom_site_label
_atom_site_type_symbol
_atom_site_fract_x
_atom_site_fract_y
_atom_site_fract_z
_atom_site_occupancy
Re1 Re 0.000 0.000 0.000 1
Ni1 Ni 0.006 0.500 0.519 1
Ni2 Ni 0.252 0.000 0.757 1
Pt1 Pt 0.253 0.500 0.258 1
```

***

The structure with the most favorable energy is <i>; the runner-up is 24 meV per atom above it.

***

<i>
Material: BaNiRu2
Method: DFT, SCAN
State: single point on PBEsol structure

Results
The calculation puts the density of states at the Fermi level at 1.092 states/eV/atom.

```
data_BaNiRu2
_space_group_name_H-M_alt 'P 1 m 1'
_space_group_IT_number 6
_cell_length_a 2.902
_cell_length_b 4.019
_cell_length_c 6.650
_cell_angle_alpha 90.00
_cell_angle_beta 102.81
_cell_angle_gamma 90.00
loop_
_space_group_symop_operation_xyz
'x,y,z'
'x,-y,z'
loop_
_atom_site_label
_atom_site_type_symbol
_atom_site_fract_x
_atom_site_fract_y
_atom_site_fract_z
_atom_site_occupancy
Ba1 Ba 0.000 0.000 0.000 1
Ni1 Ni 0.654 0.500 0.306 1
Ru1 Ru 0.315 0.500 0.624 1
Ru2 Ru 0.755 0.000 0.503 1
```

***

<ii>
Material: BaNiRu2
Method: DFT, SCAN
State: single point on PBEsol structure

Results
The calculation puts the density of states at the Fermi level at 0.984 states/eV/atom.

```
data_BaNiRu2
_space_group_name_H-M_alt 'P m m m'
_space_group_IT_number 47
_cell_length_a 2.933
_cell_length_b 4.704
_cell_length_c 4.984
_cell_angle_alpha 90.00
_cell_angle_beta 90.00
_cell_angle_gamma 90.00
loop_
_space_group_symop_operation_xyz
'x,y,z'
'-x,-y,-z'
'-x,-y,z'
'x,y,-z'
'x,-y,-z'
'-x,y,z'
'-x,y,-z'
'x,-y,z'
loop_
_atom_site_label
_atom_site_type_symbol
_atom_site_fract_x
_atom_site_fract_y
_atom_site_fract_z
_atom_site_occupancy
Ba1 Ba 0.000 0.000 0.000 1
Ni1 Ni 0.500 0.500 0.000 1
Ru1 Ru 0.000 0.500 0.500 1
Ru2 Ru 0.500 0.000 0.500 1
```

***

The structure with the most favorable energy is <i>; the runner-up is 491 meV per atom above it.